Model a:
DFT (GGA-PBE) results for an optimized crystal structure of Sr2Ca8La.

Lattice parameters (Å, degrees): 6.281 9.961 9.961 109.51 108.42 108.42
Fractional positions:
Sr 0.000 0.148 0.852
Sr 0.000 0.852 0.148
Ca 0.196 0.827 0.564
Ca 0.196 0.564 0.827
Ca 0.693 0.692 0.692
Ca 0.500 0.713 0.287
Ca 0.500 0.287 0.713
Ca 0.307 0.308 0.308
Ca 0.804 0.436 0.173
Ca 0.804 0.173 0.436
La 0.500 0.000 0.000

---

Model b:
DFT (GGA-PBE) results for an optimized crystal structure of Sr2Ca8La.

Lattice parameters (Å, degrees): 5.996 5.996 14.081 90.00 90.00 90.00
Each line ends with the local moment (μB).
Fractional positions:
Sr 0.000 0.000 0.316  0.00
Sr 0.000 0.000 0.684  0.00
Ca 0.000 0.500 0.500  0.00
Ca 0.500 0.000 0.500  0.00
Ca 0.500 0.500 0.329  0.00
Ca 0.500 0.500 0.671  0.00
Ca 0.000 0.500 0.143  0.02
Ca 0.500 0.000 0.143  0.02
Ca 0.000 0.500 0.857  0.02
Ca 0.500 0.000 0.857  0.02
La 0.000 0.000 0.000  0.17

---

The structures above, arranged from the most stable to the least stable: model a, model b.